Record 1
Here is an optimized crystal structure of CsCa2S2 from Alexandria via LeMat-Bulk. Energies are from PBE.

Lattice parameters (Å, degrees): 5.329 5.329 12.337 90.00 90.00 90.00
Element x y z (fractional)
1 Cs 0.000 0.000 0.000
2 Cs 0.500 0.500 0.500
3 Ca 0.000 0.000 0.312
4 Ca 0.000 0.000 0.688
5 Ca 0.500 0.500 0.188
6 Ca 0.500 0.500 0.812
7 S 0.000 0.500 0.250
8 S 0.000 0.500 0.750
9 S 0.500 0.000 0.250
10 S 0.500 0.000 0.750

Calculated values
- Excess energy over the best structure of this formula in the dataset: 0 meV per atom
- Final energy: -20.373 eV per formula unit
- ΔE_f (raw): -1.4522 eV/atom


Record 2
Here is an optimized crystal structure of CsCa2S from Alexandria via LeMat-Bulk. Energies are from PBE.

Lattice parameters (Å, degrees): 8.131 8.131 8.131 90.00 90.00 90.00
Element x y z (fractional)
1 Cs 0.000 0.000 0.000
2 Cs 0.000 0.500 0.500
3 Cs 0.500 0.000 0.500
4 Cs 0.500 0.500 0.000
5 Ca 0.250 0.250 0.250
6 Ca 0.250 0.250 0.750
7 Ca 0.250 0.750 0.250
8 Ca 0.250 0.750 0.750
9 Ca 0.750 0.250 0.250
10 Ca 0.750 0.250 0.750
11 Ca 0.750 0.750 0.250
12 Ca 0.750 0.750 0.750
13 S 0.000 0.000 0.500
14 S 0.000 0.500 0.000
15 S 0.500 0.000 0.000
16 S 0.500 0.500 0.500

Calculated values
- Final energy: -8.742 eV per formula unit
- ΔE_f (raw): 0.0605 eV/atom


Record 3
Here is an optimized crystal structure of CsCaS3 from Alexandria via LeMat-Bulk. Energies are from PBE.

Lattice parameters (Å, degrees): 5.481 5.481 5.481 90.00 90.00 90.00
Element x y z (fractional)
1 Cs 0.000 0.000 0.000
2 Ca 0.500 0.500 0.500
3 S 0.000 0.500 0.500
4 S 0.500 0.000 0.500
5 S 0.500 0.500 0.000

Calculated values
- Excess energy over the best structure of this formula in the dataset: 0 meV per atom
- Final energy: -18.243 eV per formula unit
- ΔE_f (raw): -0.6010 eV/atom


Record 4
Here is an optimized crystal structure of CsCaSbS4 from Alexandria via LeMat-Bulk. Energies are from PBE.

Lattice parameters (Å, degrees): 6.934 7.133 9.527 90.00 107.21 90.00
Element x y z (fractional)
1 Cs 0.241 0.250 0.440
2 Cs 0.759 0.750 0.560
3 Ca 0.277 0.250 0.950
4 Ca 0.723 0.750 0.050
5 Sb 0.268 0.750 0.160
6 Sb 0.732 0.250 0.840
7 S 0.048 0.750 0.921
8 S 0.067 0.750 0.320
9 S 0.497 0.005 0.197
10 S 0.497 0.495 0.197
11 S 0.503 0.505 0.803
12 S 0.503 0.995 0.803
13 S 0.933 0.250 0.680
14 S 0.952 0.250 0.079

Calculated values
- Final energy: -30.442 eV per formula unit
- ΔE_f (raw): -0.9936 eV/atom


Record 5
Here is an optimized crystal structure of Cs2CaSb2S6 from Alexandria via LeMat-Bulk. Energies are from PBE.

Lattice parameters (Å, degrees): 7.532 7.532 8.805 116.06 116.06 59.83
Element x y z (fractional)
1 Cs 0.211 0.211 0.206
2 Cs 0.789 0.789 0.794
3 Ca 0.000 0.000 0.500
4 Sb 0.460 0.460 0.810
5 Sb 0.540 0.540 0.190
6 S 0.190 0.712 0.217
7 S 0.253 0.253 0.641
8 S 0.288 0.810 0.783
9 S 0.712 0.190 0.217
10 S 0.747 0.747 0.359
11 S 0.810 0.288 0.783

Calculated values
- Final energy: -45.532 eV per formula unit
- ΔE_f (raw): -0.8012 eV/atom


Record 6
Here is an optimized crystal structure of Cs2CaSi2S6 from Alexandria via LeMat-Bulk. Energies are from PBE.

Lattice parameters (Å, degrees): 8.961 8.961 8.961 47.54 47.54 47.54
Element x y z (fractional)
1 Cs 0.217 0.217 0.217
2 Cs 0.783 0.783 0.783
3 Ca 0.000 0.000 0.000
4 Si 0.409 0.409 0.409
5 Si 0.591 0.591 0.591
6 S 0.250 0.250 0.740
7 S 0.250 0.740 0.250
8 S 0.260 0.750 0.750
9 S 0.740 0.250 0.250
10 S 0.750 0.260 0.750
11 S 0.750 0.750 0.260

Calculated values
- Final energy: -51.191 eV per formula unit
- ΔE_f (raw): -1.0792 eV/atom


Record 7
Here is an optimized crystal structure of CsCaTaS4 from Alexandria via LeMat-Bulk. Energies are from PBE.

Lattice parameters (Å, degrees): 6.839 7.083 9.551 90.00 107.46 90.00
Element x y z (fractional)
1 Cs 0.234 0.250 0.438
2 Cs 0.766 0.750 0.562
3 Ca 0.280 0.250 0.954
4 Ca 0.720 0.750 0.046
5 Ta 0.270 0.750 0.161
6 Ta 0.730 0.250 0.839
7 S 0.062 0.750 0.927
8 S 0.070 0.750 0.315
9 S 0.490 0.002 0.197
10 S 0.490 0.498 0.197
11 S 0.510 0.502 0.803
12 S 0.510 0.998 0.803
13 S 0.930 0.250 0.685
14 S 0.938 0.250 0.073

Calculated values
- Final energy: -41.249 eV per formula unit
- ΔE_f (raw): -1.4331 eV/atom


Record 8
Here is an optimized crystal structure of Cs3CaTb2S6 from Alexandria via LeMat-Bulk. Energies are from PBE.

Lattice parameters (Å, degrees): 7.217 7.217 8.390 98.23 98.23 120.01
Element x y z (fractional)
1 Cs 0.000 0.000 0.000
2 Cs 0.336 0.664 0.000
3 Cs 0.664 0.336 0.000
4 Ca 0.500 0.500 0.500
5 Tb 0.167 0.833 0.500
6 Tb 0.833 0.167 0.500
7 S 0.094 0.439 0.316
8 S 0.217 0.217 0.682
9 S 0.439 0.094 0.316
10 S 0.561 0.906 0.684
11 S 0.783 0.783 0.318
12 S 0.906 0.561 0.684

Calculated values
- Final energy: -58.318 eV per formula unit
- ΔE_f (raw): -1.6442 eV/atom


Record 9
Here is an optimized crystal structure of Cs2CaThS4 from Alexandria via LeMat-Bulk. Energies are from PBE.

Lattice parameters (Å, degrees): 7.304 4.279 8.432 90.00 107.14 90.00
Element x y z (fractional)
1 Cs 0.000 0.000 0.000
2 Cs 0.500 0.500 0.000
3 Ca 0.000 0.500 0.500
4 Th 0.500 0.000 0.500
5 S 0.241 0.000 0.683
6 S 0.281 0.500 0.315
7 S 0.719 0.500 0.685
8 S 0.759 0.000 0.317

Calculated values
- Final energy: -41.859 eV per formula unit
- ΔE_f (raw): -1.7775 eV/atom


Record 10
Here is an optimized crystal structure of CsCa2TiS from Alexandria via LeMat-Bulk. Energies are from PBE.

Lattice parameters (Å, degrees): 5.821 5.821 6.078 90.00 90.00 90.00
Element x y z (fractional)
1 Cs 0.000 0.000 0.000
2 Ca 0.000 0.500 0.500
3 Ca 0.500 0.000 0.500
4 Ti 0.000 0.000 0.500
5 S 0.500 0.500 0.000

Calculated values
- Final energy: -13.308 eV per formula unit
- ΔE_f (raw): 0.7142 eV/atom


Record 11
Here is an optimized crystal structure of Cs3CaTm2S6 from Alexandria via LeMat-Bulk. Energies are from PBE.

Lattice parameters (Å, degrees): 7.131 7.131 8.362 98.17 98.17 120.02
Element x y z (fractional)
1 Cs 0.000 0.000 0.000
2 Cs 0.337 0.663 0.000
3 Cs 0.663 0.337 0.000
4 Ca 0.500 0.500 0.500
5 Tm 0.167 0.833 0.500
6 Tm 0.833 0.167 0.500
7 S 0.091 0.439 0.318
8 S 0.212 0.212 0.680
9 S 0.439 0.091 0.318
10 S 0.561 0.909 0.682
11 S 0.788 0.788 0.320
12 S 0.909 0.561 0.682

Calculated values
- Final energy: -57.959 eV per formula unit
- ΔE_f (raw): -1.6407 eV/atom


Record 12
Here is an optimized crystal structure of Cs2Ca2US6 from Alexandria via LeMat-Bulk. Energies are from PBE.

Lattice parameters (Å, degrees): 7.025 7.025 8.550 98.45 98.45 119.39
Element x y z (fractional)
1 Cs 0.173 0.827 0.000
2 Cs 0.827 0.173 0.000
3 Ca 0.334 0.666 0.500
4 Ca 0.666 0.334 0.500
5 U 0.000 0.000 0.500
6 S 0.061 0.365 0.677
7 S 0.239 0.239 0.323
8 S 0.365 0.061 0.677
9 S 0.635 0.939 0.323
10 S 0.761 0.761 0.677
11 S 0.939 0.635 0.323

Calculated values
- Final energy: -59.418 eV per formula unit
- ΔE_f (raw): -1.6050 eV/atom


Record 13
Here is an optimized crystal structure of Cs3CaU2S9 from Alexandria via LeMat-Bulk. Energies are from PBE.

Lattice parameters (Å, degrees): 7.486 7.486 9.239 90.00 90.00 120.00
Element x y z (fractional)
1 Cs 0.000 0.000 0.000
2 Cs 0.333 0.667 0.659
3 Cs 0.667 0.333 0.341
4 Ca 0.000 0.000 0.500
5 U 0.333 0.667 0.164
6 U 0.667 0.333 0.836
7 S 0.000 0.500 0.000
8 S 0.175 0.351 0.317
9 S 0.175 0.825 0.317
10 S 0.351 0.175 0.683
11 S 0.500 0.000 0.000
12 S 0.500 0.500 0.000
13 S 0.649 0.825 0.317
14 S 0.825 0.175 0.683
15 S 0.825 0.649 0.683

Calculated values
- Final energy: -83.850 eV per formula unit
- ΔE_f (raw): -1.3043 eV/atom


Record 14
Here is an optimized crystal structure of Cs2CaUS6 from Alexandria via LeMat-Bulk. Energies are from PBE.

Lattice parameters (Å, degrees): 7.573 7.573 7.573 60.00 60.00 60.00
Element x y z (fractional)
1 Cs 0.250 0.250 0.250
2 Cs 0.750 0.750 0.750
3 Ca 0.000 0.000 0.000
4 U 0.500 0.500 0.500
5 S 0.263 0.263 0.737
6 S 0.263 0.737 0.263
7 S 0.263 0.737 0.737
8 S 0.737 0.263 0.263
9 S 0.737 0.263 0.737
10 S 0.737 0.737 0.263

Calculated values
- Final energy: -51.649 eV per formula unit
- ΔE_f (raw): -1.1888 eV/atom


Record 15
Here is an optimized crystal structure of CsCaVS4 from Alexandria via LeMat-Bulk. Energies are from PBE.

Lattice parameters (Å, degrees): 6.574 6.874 9.487 90.00 108.04 90.00
Element x y z (fractional)
1 Cs 0.229 0.250 0.434
2 Cs 0.771 0.750 0.566
3 Ca 0.275 0.250 0.957
4 Ca 0.725 0.750 0.043
5 V 0.286 0.750 0.164
6 V 0.714 0.250 0.836
7 S 0.089 0.750 0.309
8 S 0.091 0.750 0.939
9 S 0.499 0.501 0.203
10 S 0.499 0.999 0.203
11 S 0.501 0.001 0.797
12 S 0.501 0.499 0.797
13 S 0.909 0.250 0.061
14 S 0.911 0.250 0.691

Calculated values
- Final energy: -37.866 eV per formula unit
- ΔE_f (raw): -1.3404 eV/atom


Record 16
Here is an optimized crystal structure of Cs2CaVS4 from Alexandria via LeMat-Bulk. Energies are from PBE.

Lattice parameters (Å, degrees): 14.747 13.287 7.838 84.35 63.72 31.93
Element x y z (fractional)
1 Cs 0.054 0.054 0.696
2 Cs 0.304 0.304 0.946
3 Cs 0.696 0.696 0.054
4 Cs 0.946 0.946 0.304
5 Ca 0.125 0.125 0.125
6 Ca 0.875 0.875 0.875
7 V 0.375 0.375 0.375
8 V 0.625 0.625 0.625
9 S 0.035 0.617 0.529
10 S 0.319 0.529 0.617
11 S 0.383 0.965 0.681
12 S 0.471 0.681 0.965
13 S 0.529 0.319 0.035
14 S 0.617 0.035 0.319
15 S 0.681 0.471 0.383
16 S 0.965 0.383 0.471

Calculated values
- Final energy: -39.177 eV per formula unit
- ΔE_f (raw): -1.2300 eV/atom


Record 17
Here is an optimized crystal structure of Cs3CaY2S6 from Alexandria via LeMat-Bulk. Energies are from PBE.

Lattice parameters (Å, degrees): 7.202 7.202 8.382 98.23 98.23 120.01
Element x y z (fractional)
1 Cs 0.000 0.000 0.000
2 Cs 0.336 0.664 0.000
3 Cs 0.664 0.336 0.000
4 Ca 0.500 0.500 0.500
5 Y 0.167 0.833 0.500
6 Y 0.833 0.167 0.500
7 S 0.094 0.439 0.317
8 S 0.216 0.216 0.682
9 S 0.439 0.094 0.317
10 S 0.561 0.906 0.683
11 S 0.784 0.784 0.318
12 S 0.906 0.561 0.683

Calculated values
- Final energy: -62.009 eV per formula unit
- ΔE_f (raw): -1.6462 eV/atom


Record 18
Here is an optimized crystal structure of Cs3Ca2ZrS6 from Alexandria via LeMat-Bulk. Energies are from PBE.

Lattice parameters (Å, degrees): 7.144 7.144 8.310 98.23 98.23 119.98
Element x y z (fractional)
1 Cs 0.000 0.000 0.000
2 Cs 0.328 0.672 0.000
3 Cs 0.672 0.328 0.000
4 Ca 0.166 0.834 0.500
5 Ca 0.834 0.166 0.500
6 Zr 0.500 0.500 0.500
7 S 0.133 0.440 0.320
8 S 0.255 0.255 0.683
9 S 0.440 0.133 0.320
10 S 0.560 0.867 0.680
11 S 0.745 0.745 0.317
12 S 0.867 0.560 0.680

Calculated values
- Final energy: -57.748 eV per formula unit
- ΔE_f (raw): -1.4893 eV/atom


Record 19
Here is an optimized crystal structure of CsCa2Sb2 from Alexandria via LeMat-Bulk. Energies are from PBE.

Lattice parameters (Å, degrees): 6.044 6.044 12.959 90.00 90.00 90.00
Element x y z (fractional)
1 Cs 0.000 0.000 0.000
2 Cs 0.500 0.500 0.500
3 Ca 0.000 0.000 0.299
4 Ca 0.000 0.000 0.701
5 Ca 0.500 0.500 0.201
6 Ca 0.500 0.500 0.799
7 Sb 0.000 0.500 0.250
8 Sb 0.000 0.500 0.750
9 Sb 0.500 0.000 0.250
10 Sb 0.500 0.000 0.750

Calculated values
- Excess energy over the best structure of this formula in the dataset: 211 meV per atom
- Final energy: -15.862 eV per formula unit
- ΔE_f (raw): -0.5522 eV/atom


Record 20
Here is an optimized crystal structure of CsCa2Sb2 from Alexandria via LeMat-Bulk. Energies are from PBE.

Lattice parameters (Å, degrees): 9.500 9.500 3.700 90.00 90.00 90.00
Element x y z (fractional)
1 Cs 0.000 0.000 0.000
2 Cs 0.500 0.500 0.000
3 Ca 0.131 0.369 0.000
4 Ca 0.369 0.869 0.000
5 Ca 0.631 0.131 0.000
6 Ca 0.869 0.631 0.000
7 Sb 0.162 0.662 0.500
8 Sb 0.338 0.162 0.500
9 Sb 0.662 0.838 0.500
10 Sb 0.838 0.338 0.500

Calculated values
- Excess energy over the best structure of this formula in the dataset: 0 meV per atom
- Final energy: -16.920 eV per formula unit
- ΔE_f (raw): -0.7636 eV/atom


Record 21
Here is an optimized crystal structure of CsCaSb from Alexandria via LeMat-Bulk. Energies are from PBE.

Lattice parameters (Å, degrees): 7.171 5.075 8.607 90.00 97.02 90.00
Element x y z (fractional)
1 Cs 0.000 0.000 0.000
2 Cs 0.121 0.000 0.519
3 Ca 0.518 0.500 0.144
4 Ca 0.587 0.500 0.590
5 Sb 0.301 0.500 0.823
6 Sb 0.599 0.000 0.360

Calculated values
- Final energy: -8.520 eV per formula unit
- ΔE_f (raw): -0.5143 eV/atom


Record 22
Here is an optimized crystal structure of CsCa3Sb from Alexandria via LeMat-Bulk. Energies are from PBE.

Lattice parameters (Å, degrees): 6.253 6.253 6.253 90.00 90.00 90.00
Element x y z (fractional)
1 Cs 0.000 0.000 0.000
2 Ca 0.000 0.500 0.500
3 Ca 0.500 0.000 0.500
4 Ca 0.500 0.500 0.000
5 Sb 0.500 0.500 0.500

Calculated values
- Excess energy over the best structure of this formula in the dataset: 0 meV per atom
- Final energy: -12.016 eV per formula unit
- ΔE_f (raw): -0.2071 eV/atom